HfMn2Ru: relaxed, GGA-PBE.

Structure (POSCAR):
```
HfMn2Ru
1.0
7.0309 0.0000 0.0000
0.0000 7.0309 0.0000
3.5154 3.5154 2.6431
Hf Mn Ru
2 4 2
direct
0.0000 0.0000 0.0000
0.7500 0.2500 0.5000
0.1590 0.6250 0.2500
0.3750 0.4090 0.7500
0.5910 0.1250 0.2500
0.8750 0.8410 0.7500
0.2500 0.7500 0.5000
0.5000 0.5000 0.0000
```

Computed properties:
As for the volume: 16.3 A^3/atom. Its relative energy among the computed polymorphs is 107 kJ/mol of formula units. Its spin magnetization is 5.57 μB/f.u. As for the crystal system: tetragonal.

***

HfMn3Ru: relaxed, GGA-PBE.

Structure (POSCAR):
```
HfMn3Ru
1.0
4.4018 0.0000 0.0000
0.0000 4.4018 0.0000
0.0000 0.0000 4.4018
Ru Mn Hf
1 3 1
direct
0.5000 0.5000 0.5000
0.0000 0.0000 0.5000
0.0000 0.5000 0.0000
0.5000 0.0000 0.0000
0.0000 0.0000 0.0000
```

Computed properties:
As for the volume: 17.1 A^3/atom. Its relative energy among the computed polymorphs is 536 kJ/mol of formula units. Its spin magnetization is 0.99 μB/f.u. As for the crystal system: cubic.

***

Hf4MnRu2: relaxed, GGA-PBE.

Structure (POSCAR):
```
Hf4MnRu2
1.0
5.2165 -0.0044 -1.8384
-2.6014 4.5151 -1.8542
-0.0025 0.0044 5.5309
Ru Hf Mn
2 4 1
direct
0.5000 0.0000 0.5000
0.5000 0.5000 0.0000
0.0000 0.5000 0.0000
0.0000 0.0000 0.5000
0.5000 0.0000 0.0000
0.5000 0.5000 0.5000
0.0000 0.0000 0.0000
```

Computed properties:
As for the volume: 18.6 A^3/atom. Its final energy is -0.367 hartree per atom. Its spin magnetization is 0.00 μB/f.u. As for the crystal system: tetragonal.

***

Hf6MnRu5: relaxed, GGA-PBE.

Structure (POSCAR):
```
Hf6MnRu5
1.0
4.3888 0.0185 -1.2808
-0.8866 5.6746 -2.9549
-0.0778 0.4252 7.8989
Ru Hf Mn
5 6 1
direct
0.6671 0.1671 0.3342
0.3329 0.8329 0.6658
0.6667 0.6667 0.3335
0.3333 0.3333 0.6665
0.0000 0.5000 0.0000
0.4999 0.2455 0.0000
0.1646 0.9169 0.3292
0.5001 0.7545 0.0000
0.1645 0.4123 0.3292
0.8355 0.5877 0.6708
0.8354 0.0831 0.6708
0.0000 0.0000 0.0000
```

Computed properties:
As for the volume: 16.9 A^3/atom. Its final energy is -0.379 hartree per atom. Its spin magnetization is 0.00 μB/f.u. As for the crystal system: orthorhombic.

***

Hf4Mn3Ru: relaxed, GGA-PBE.

Structure (POSCAR):
```
Hf4Mn3Ru
1.0
3.1884 0.0000 0.0000
0.0000 3.1884 0.0000
0.0000 0.0000 12.7505
Mn Hf Ru
3 4 1
direct
0.5000 0.5000 0.2533
0.5000 0.5000 0.5000
0.5000 0.5000 0.7467
0.0000 0.0000 0.8709
0.0000 0.0000 0.6246
0.0000 0.0000 0.1291
0.0000 0.0000 0.3754
0.5000 0.5000 0.0000
```

Computed properties:
As for the volume: 16.2 A^3/atom. Its final energy is -0.363 hartree per atom. Its spin magnetization is 2.17 μB/f.u. As for the crystal system: tetragonal.

***

HfMn2Ru: relaxed, GGA-PBE.

Structure (POSCAR):
```
HfMn2Ru
1.0
-1.4876 -4.0411 0.5163
-4.2655 -0.7738 -0.1300
-1.7167 -2.1257 -3.3682
Mn Hf Ru
2 1 1
direct
0.7500 0.7500 0.7500
0.2500 0.2500 0.2500
0.5000 0.5000 0.5000
0.0000 0.0000 0.0000
```

Computed properties:
As for the volume: 14.4 A^3/atom. Its relative energy among the computed polymorphs is 0 kJ/mol of formula units. Its spin magnetization is 3.54 μB/f.u. As for the crystal system: cubic.

***

HfMnRu3: relaxed, GGA-PBE.

Structure (POSCAR):
```
HfMnRu3
1.0
-0.5374 -1.5794 -4.0723
0.8465 -4.0629 1.4641
-4.2851 -0.6045 0.7999
Hf Ru Mn
1 3 1
direct
0.5000 0.5000 0.5000
0.0000 0.0000 0.5000
0.5000 0.0000 0.0000
0.0000 0.5000 0.0000
0.0000 0.0000 0.0000
```

Computed properties:
As for the volume: 17.0 A^3/atom. Its relative energy among the computed polymorphs is 0 kJ/mol of formula units. Its spin magnetization is 0.00 μB/f.u. As for the crystal system: cubic.

***

HfMnRu3: relaxed, GGA-PBE.

Structure (POSCAR):
```
HfMnRu3
1.0
4.6761 0.0000 0.0000
0.0000 4.6761 0.0000
0.0000 0.0000 4.6761
Ru Hf Mn
3 1 1
direct
0.0000 0.0000 0.5000
0.5000 0.0000 0.0000
0.0000 0.5000 0.0000
0.0000 0.0000 0.0000
0.5000 0.5000 0.5000
```

Computed properties:
As for the volume: 20.4 A^3/atom. Its relative energy among the computed polymorphs is 664 kJ/mol of formula units. Its spin magnetization is 1.45 μB/f.u. As for the crystal system: cubic.

***

Hf2Mn2Ru: relaxed, GGA-PBE.

Structure (POSCAR):
```
Hf2Mn2Ru
1.0
6.2240 0.0000 0.0000
0.0000 6.2240 0.0000
0.0000 0.0000 4.1495
Ru Mn Hf
2 4 4
direct
0.0000 0.0000 0.0000
0.5000 0.5000 0.0000
0.6151 0.1151 0.0000
0.3849 0.8849 0.0000
0.8849 0.6151 0.0000
0.1151 0.3849 0.0000
0.3177 0.1823 0.5000
0.8177 0.3177 0.5000
0.1823 0.6823 0.5000
0.6823 0.8177 0.5000
```

Computed properties:
As for the volume: 16.1 A^3/atom. Its final energy is -0.354 hartree per atom. Its spin magnetization is 0.02 μB/f.u. As for the crystal system: tetragonal.

***

HfMn4Ru: relaxed, GGA-PBE.

Structure (POSCAR):
```
HfMn4Ru
1.0
-4.3266 -1.3558 -1.5239
-2.4541 -3.3204 2.4148
-3.9029 1.2378 2.4728
Mn Ru Hf
4 1 1
direct
0.6225 0.6225 0.6225
0.1326 0.6225 0.6225
0.6225 0.6225 0.1326
0.6225 0.1326 0.6225
0.0000 0.0000 0.0000
0.2500 0.2500 0.2500
```

Computed properties:
As for the volume: 12.9 A^3/atom. Its final energy is -0.346 hartree per atom. Its spin magnetization is 0.00 μB/f.u. As for the crystal system: cubic.

***

HfMnSiRu: relaxed, GGA-PBE.

Structure (POSCAR):
```
HfMnSiRu
1.0
-3.1294 1.2936 -2.6630
-3.4229 -2.5236 -0.6879
-3.8496 1.1138 1.5804
Hf Si Mn Ru
1 1 1 1
direct
0.5000 0.5000 0.5000
0.0000 0.0000 0.0000
0.2500 0.2500 0.2500
0.7500 0.7500 0.7500
```

Computed properties:
As for the volume: 14.1 A^3/atom. Its spin magnetization is 0.99 μB/f.u. As for the crystal system: cubic. The calculation puts the uncorrected formation energy at -0.510 eV/atom.

***

HfMn3S: relaxed, GGA-PBE.

Structure (POSCAR):
```
HfMn3S
1.0
4.1093 0.0000 0.0000
0.0000 4.1093 0.0000
0.0000 0.0000 4.1093
Mn Hf S
3 1 1
direct
0.0000 0.0000 0.5000
0.5000 0.0000 0.0000
0.0000 0.5000 0.0000
0.5000 0.5000 0.5000
0.0000 0.0000 0.0000
```

Computed properties:
As for the volume: 13.9 A^3/atom. Its relative energy among the computed polymorphs is 0 kJ/mol of formula units. Its spin magnetization is 0.32 μB/f.u. As for the crystal system: cubic. The calculation puts the uncorrected formation energy at 0.001 eV/atom.

***

Among the records above, which one has the highest spin magnetization? number 1